Density functional theory data (PBE) for a relaxed structure of Tb6GeAs5.

Summary:
symmetry	C2/m
calculated formation energy	-133.7	kJ per mole of atoms
magnetic moment	0.00	μB per atom

Unit cell a=7.180 b=7.180 c=7.164 alpha=99.63 beta=99.63 gamma=120.04
Fractional positions:
Tb 0.081 0.417 0.750
Tb 0.248 0.248 0.251
Tb 0.417 0.081 0.750
Tb 0.583 0.919 0.250
Tb 0.752 0.752 0.749
Tb 0.919 0.583 0.250
Ge 0.500 0.500 0.000
As 0.000 0.000 0.500
As 0.166 0.834 0.000
As 0.333 0.667 0.500
As 0.667 0.333 0.500
As 0.834 0.166 0.000